Computed, not measured: a relaxed PaBiIO4 crystal at the PBE-GGA level of DFT.

Cell and atoms, written as POSCAR:
```
PaBiIO4
1.0
8.349 1.972 0.152
4.626 7.224 0.152
2.658 1.884 6.884
Bi O Pa I
2 8 2 2
Cartesian
5.862 4.155 5.464
9.771 6.926 1.724
5.370 1.741 1.007
10.263 9.339 6.181
3.422 4.490 1.007
5.444 3.859 3.387
12.211 6.590 6.181
7.194 5.099 1.070
10.189 7.222 3.801
8.440 5.982 6.118
5.432 3.850 1.323
10.201 7.230 5.864
14.112 10.002 5.088
1.521 1.078 2.099
```

- Density of states at the Fermi level: 0.0 states/eV/cell
- Total DFT energy (no corrections): -7.01 eV per atom

---

Computed, not measured: a relaxed LiAcAlAu crystal at the PBE-GGA level of DFT.

Cell and atoms, written as POSCAR:
```
LiAcAlAu
1.0
-0.818 -3.724 -3.353
-2.543 -4.165 1.402
-4.683 -0.833 -1.776
Ac Al Li Au
1 1 1 1
Cartesian
-6.033 -6.542 -2.796
-2.011 -2.181 -0.932
-4.022 -4.361 -1.864
0.000 0.000 0.000
```

- Energy of formation from the pure elements: -1.61 eV/f.u.
- Density of states at the Fermi level: 1.2 states/eV/cell
- Energy relative to the lowest polymorph listed for this composition: 10.4 kJ per mole of atoms

---

Computed, not measured: a relaxed RbTlGe crystal at the PBE-GGA level of DFT.

Cell and atoms, written as POSCAR:
```
RbTlGe
1.0
7.328 -0.020 0.001
2.990 7.817 -0.007
-1.050 -0.600 3.778
Tl Ge Rb
2 2 2
Cartesian
5.041 1.269 0.584
4.227 5.928 3.188
4.056 3.949 0.740
5.212 3.248 3.033
8.013 5.492 2.085
1.255 1.705 1.687
```

- Energy of formation from the pure elements: -0.14 eV/f.u.
- Density of states at the Fermi level: 0.1 states/eV/cell

---

Computed, not measured: a relaxed CuGeCl2 crystal at the PBE-GGA level of DFT.

Cell and atoms, written as POSCAR:
```
CuGeCl2
1.0
0.000 3.365 3.365
3.365 0.000 3.365
3.365 3.365 0.000
Ge Cl Cu
1 2 1
Cartesian
3.365 3.365 3.365
5.047 5.047 5.047
1.682 1.682 1.682
0.000 0.000 0.000
```

- Density of states at the Fermi level: 1.4 states/eV/cell
- Energy relative to the lowest polymorph listed for this composition: 15.3 kJ per mole of atoms

---

Q: The lowest density of states at the Fermi level belongs to which entry?
A: PaBiIO4